MnAlOsO6 | PBE+U | relaxed

Calculated values
Its total DFT energy (no corrections) is -7.443 eV/atom. The total magnetization comes out at 4.0 μB per formula unit.

abc: 4.990 4.990 9.185
angles: 90.00 90.00 120.00
Each line ends with the local moment (μB).
Atoms (fractional coordinates):
Mn1 0.000 0.000 0.000  4.51
Mn2 0.000 0.000 0.500  4.51
Al1 0.667 0.333 0.250  -0.01
Al2 0.333 0.667 0.750  -0.01
Os1 0.333 0.667 0.250  -0.53
Os2 0.667 0.333 0.750  -0.53
O1 0.643 0.642 0.137  -0.01
O2 0.000 0.357 0.137  -0.01
O3 0.357 0.000 0.637  -0.01
O4 0.000 0.643 0.863  -0.01
O5 0.358 0.357 0.363  -0.01
O6 0.000 0.642 0.363  -0.01
O7 0.642 0.000 0.863  -0.01
O8 0.643 0.000 0.363  -0.01
O9 0.000 0.358 0.637  -0.01
O10 0.358 0.000 0.137  -0.01
O11 0.642 0.643 0.637  -0.01
O12 0.357 0.358 0.863  -0.01